1 | An optimized crystal structure of POsCl2. Source: Alexandria via LeMat-Bulk, functional PBE.

Geometry as CIF:
```
data_POsCl2
_chemical_formula_sum 'P1 Os1 Cl2'
_symmetry_space_group_name_H-M 'P 4 m m'
_symmetry_Int_Tables_number 99
_symmetry_space_group_name_Hall 'P 4 -2'
_cell_length_a 2.930
_cell_length_b 2.930
_cell_length_c 9.254
_cell_angle_alpha 90.00
_cell_angle_beta 90.00
_cell_angle_gamma 90.00
loop_
_atom_site_label
_atom_site_type_symbol
_atom_site_fract_x
_atom_site_fract_y
_atom_site_fract_z
P1 P 0.000 0.000 0.000
Os1 Os 0.500 0.500 0.861
Cl1 Cl 0.000 0.000 0.664
Cl2 Cl 0.500 0.500 0.290
```

Computed properties:
Magnetic moment ... 0.00 Bohr magnetons per cell


2 | An optimized crystal structure of POsCl2. Source: Alexandria via LeMat-Bulk, functional PBE.

Geometry as CIF:
```
data_POsCl2
_chemical_formula_sum 'P3 Os3 Cl6'
_symmetry_space_group_name_H-M 'R -3 m'
_symmetry_Int_Tables_number 166
_symmetry_space_group_name_Hall '-R 3 2"'
_cell_length_a 2.9225
_cell_length_b 2.9225
_cell_length_c 29.4752
_cell_angle_alpha 90.00
_cell_angle_beta 90.00
_cell_angle_gamma 120.00
loop_
_atom_site_label
_atom_site_type_symbol
_atom_site_fract_x
_atom_site_fract_y
_atom_site_fract_z
P1 P 0.0000 0.0000 0.0000
Os1 Os 0.0000 0.0000 0.5000
Cl1 Cl 0.0000 0.0000 0.1011
```

Computed properties:
Magnetic moment ... 0.00 Bohr magnetons per cell


3 | An optimized crystal structure of POsCl2. Source: Alexandria via LeMat-Bulk, functional PBE.

Geometry as CIF:
```
data_POsCl2
_chemical_formula_sum 'P1 Os1 Cl2'
_symmetry_space_group_name_H-M 'P 4/m m m'
_symmetry_Int_Tables_number 123
_symmetry_space_group_name_Hall '-P 4 2'
_cell_length_a 4.527
_cell_length_b 4.527
_cell_length_c 3.089
_cell_angle_alpha 90.00
_cell_angle_beta 90.00
_cell_angle_gamma 90.00
loop_
_atom_site_label
_atom_site_type_symbol
_atom_site_fract_x
_atom_site_fract_y
_atom_site_fract_z
P1 P 0.000 0.000 0.000
Os1 Os 0.500 0.500 0.000
Cl1 Cl 0.000 0.500 0.500
```

Computed properties:
Magnetic moment ... 0.00 Bohr magnetons per cell


4 | An optimized crystal structure of POsCl2. Source: Alexandria via LeMat-Bulk, functional PBE.

Geometry as CIF:
```
data_POsCl2
_chemical_formula_sum 'P4 Os4 Cl8'
_symmetry_space_group_name_H-M 'F m m m'
_symmetry_Int_Tables_number 69
_symmetry_space_group_name_Hall '-F 2 2'
_cell_length_a 5.310
_cell_length_b 6.016
_cell_length_c 8.234
_cell_angle_alpha 90.00
_cell_angle_beta 90.00
_cell_angle_gamma 90.00
loop_
_atom_site_label
_atom_site_type_symbol
_atom_site_fract_x
_atom_site_fract_y
_atom_site_fract_z
P1 P 0.000 0.000 0.000
Os1 Os 0.000 0.000 0.500
Cl1 Cl 0.000 0.250 0.250
```

Computed properties:
Magnetic moment ... 0.00 Bohr magnetons per cell


What should be chosen as the most stable of them? Choose 1.